[1]
K3AsCl6 | Alexandria via LeMat-Bulk | PBE-GGA | optimized geometry; space-group type = Fm-3m; final energy = -3.304 eV per atom; total moment = 0.00 Bohr magnetons per cell; crystal system = cubic; DOS(E_F) = 0.0000 states/eV per atom
1.0
7.7281 0.0000 0.0000
3.8640 6.6927 0.0000
3.8640 2.2309 6.3099
As K Cl
1 3 6
Cartesian
0.0000 0.0000 0.0000
3.8640 2.2309 1.5775
11.5921 6.6927 4.7325
7.7281 4.4618 3.1550
7.7281 6.8795 4.8645
9.8218 3.2530 4.8645
5.6343 5.6706 1.4454
5.6343 3.2530 4.8645
9.8218 5.6706 1.4454
7.7281 2.0441 1.4454



[2]
KAsCl3 | Alexandria via LeMat-Bulk | PBE-GGA | optimized geometry; space-group type = Pm-3m; total moment = 1.00 Bohr magnetons per cell; crystal system = cubic; energy relative to the lowest polymorph listed for this composition = 1209 meV per atom; DOS(E_F) = 1.0705 states/eV per atom
1.0
-1.3876 5.4152 -1.2305
0.9724 -1.0118 -5.5492
-5.4674 -1.5543 -0.6747
As K Cl
1 1 3
Cartesian
-2.9413 1.4245 -3.7272
0.0000 0.0000 0.0000
0.4862 -0.5059 -2.7746
-2.7337 -0.7771 -0.3373
-0.6938 2.7076 -0.6153



[3]
KAsCl6 | Alexandria via LeMat-Bulk | PBE-GGA | optimized geometry; space-group type = C2/m; final energy = -2.926 eV per atom; total moment = 0.00 Bohr magnetons per cell; crystal system = monoclinic
1.0
6.2413 1.3206 1.6406
-1.5034 6.1994 1.6397
0.9593 1.5240 6.7463
K As Cl
1 1 6
Cartesian
2.3689 3.7600 1.6401
0.0000 0.0000 0.0000
3.5925 5.7020 4.1244
5.5311 3.2066 6.8748
0.5031 6.3741 6.8744
0.1661 5.8374 3.1518
2.1047 3.3420 5.9022
5.1941 2.6700 3.1522



[4]
KAsCl4 | Alexandria via LeMat-Bulk | PBE-GGA | optimized geometry; space-group type = C2/c; total moment = 0.00 Bohr magnetons per cell; crystal system = monoclinic; energy relative to the lowest polymorph listed for this composition = 0 meV per atom; DOS(E_F) = 0.0000 states/eV per atom
1.0
-0.3645 -6.9226 3.1322
4.8744 2.9870 3.6931
-7.3949 4.4130 1.3937
K As Cl
2 2 8
Cartesian
0.8510 0.4742 4.0277
-3.7359 0.0033 4.1913
-0.8584 4.8354 4.2304
-2.0265 -4.3579 3.9885
0.0063 -5.3381 4.2196
2.9887 -1.4247 5.4180
-1.7482 2.4761 3.9524
-1.1367 -1.9986 4.2665
1.8536 3.4156 4.7099
-5.8736 1.9022 2.8009
-4.7386 -2.9381 3.5091
-2.8912 5.8156 3.9994



[5]
K3As2Cl9 | Alexandria via LeMat-Bulk | PBE-GGA | optimized geometry; space-group type = P6_3/mmc; final energy = -3.335 eV per atom; total moment = 0.00 Bohr magnetons per cell; crystal system = hexagonal; DOS(E_F) = 0.0000 states/eV per atom
1.0
7.2246 0.0000 0.0000
-3.6123 6.2567 0.0000
0.0000 0.0000 18.1509
K As Cl
6 4 18
Cartesian
0.0000 0.0000 13.6132
0.0000 0.0000 4.5377
3.6123 2.0856 16.4519
0.0000 4.1711 1.6990
0.0000 4.1711 7.3764
3.6123 2.0856 10.7745
3.6123 2.0855 2.7939
0.0000 4.1711 15.3570
0.0000 4.1711 11.8693
3.6123 2.0855 6.2816
3.6123 0.0376 13.6132
5.3859 3.1095 13.6132
1.8387 3.1095 13.6132
0.0000 6.2191 4.5377
-1.7736 3.1471 4.5377
1.7736 3.1471 4.5377
0.0000 2.1889 16.6219
1.7166 5.1622 16.6219
-1.7166 5.1622 16.6219
3.6123 4.0677 1.5290
1.8957 1.0945 1.5290
5.3289 1.0945 1.5290
3.6123 4.0677 7.5464
1.8957 1.0945 7.5464
5.3289 1.0945 7.5464
0.0000 2.1889 10.6045
1.7166 5.1622 10.6045
-1.7166 5.1622 10.6045



[6]
KAs3Cl | Alexandria via LeMat-Bulk | PBE-GGA | optimized geometry; space-group type = Pm-3m; total moment = 8.41 Bohr magnetons per cell; crystal system = cubic; energy relative to the lowest polymorph listed for this composition = 819 meV per atom; DOS(E_F) = 7.5004 states/eV per atom
1.0
6.7939 0.0000 0.0000
0.0000 6.7939 0.0000
0.0000 0.0000 6.7939
As K Cl
3 1 1
Cartesian
0.0000 3.3969 0.0000
0.0000 0.0000 3.3969
3.3969 0.0000 0.0000
0.0000 0.0000 0.0000
3.3969 3.3969 3.3969